Record 1
Material: CaZn2CdAu2
Method: DFT, PBE-GGA
State: optimized geometry

Unit cell a=4.531 b=4.531 c=6.883 alpha=90.00 beta=90.00 gamma=120.00
Fractional coordinates of all 6 atoms:
Ca1 0.000 0.000 0.000
Zn1 0.333 0.667 0.709
Zn2 0.667 0.333 0.291
Cd1 0.000 0.000 0.500
Au1 0.333 0.667 0.276
Au2 0.667 0.333 0.724

Calculated values
- DOS at the Fermi energy: 1.9 states/eV per cell
- Crystal system: trigonal
- Volume: 122 Å³/cell
- Energy relative to the elements: -430.4 meV per atom
- Size of the total moment: 0.00 μB/f.u.

Record 2
Material: NdB4Ir4
Method: DFT, PBE-GGA
State: optimized geometry

Unit cell a=5.436 b=5.436 c=7.553 alpha=90.00 beta=90.00 gamma=90.00
Fractional coordinates of all 18 atoms:
Nd1 0.250 0.750 0.250
Nd2 0.750 0.250 0.750
B1 0.078 0.250 0.093
B2 0.250 0.078 0.593
B3 0.250 0.422 0.593
B4 0.422 0.250 0.093
B5 0.578 0.750 0.907
B6 0.750 0.578 0.407
B7 0.750 0.922 0.407
B8 0.922 0.750 0.907
Ir1 0.001 0.750 0.609
Ir2 0.250 0.501 0.891
Ir3 0.250 0.999 0.891
Ir4 0.499 0.750 0.609
Ir5 0.501 0.250 0.391
Ir6 0.750 0.001 0.109
Ir7 0.750 0.499 0.109
Ir8 0.999 0.250 0.391

Calculated values
- DOS at the Fermi energy: 7.1 states/eV per cell
- Crystal system: tetragonal
- Volume: 223 Å³/cell
- Energy relative to the elements: -468.7 meV per atom
- Size of the total moment: 0.00 μB/f.u.

Record 3
Material: Be2NiSb
Method: DFT, PBE-GGA
State: optimized geometry

Unit cell a=3.104 b=3.741 c=4.814 alpha=90.00 beta=96.84 gamma=90.00
Fractional coordinates of all 4 atoms:
Be1 0.000 0.000 0.000
Be2 0.490 0.500 0.936
Ni1 0.055 0.500 0.250
Sb1 0.509 0.000 0.525

Calculated values
- DOS at the Fermi energy: 0.8 states/eV per cell
- Crystal system: monoclinic
- Volume: 55 Å³/cell
- Energy relative to the elements, uncorrected: 171 meV per atom
- Size of the total moment: 0.00 μB/f.u.

Record 4
Material: Pa2CoMoN6
Method: DFT, PBE-GGA
State: optimized geometry

Unit cell a=5.366 b=5.366 c=4.325 alpha=90.00 beta=90.00 gamma=90.00
Fractional coordinates of all 10 atoms:
Pa1 0.000 0.500 0.000
Pa2 0.500 0.000 0.000
Co1 0.000 0.000 0.673
Mo1 0.500 0.500 0.578
N1 0.000 0.000 0.172
N2 0.249 0.249 0.707
N3 0.249 0.751 0.707
N4 0.500 0.500 0.157
N5 0.751 0.249 0.707
N6 0.751 0.751 0.707

Calculated values
- DOS at the Fermi energy: 2.1 states/eV per cell
- Crystal system: tetragonal
- Volume: 125 Å³/cell
- Energy relative to the elements, uncorrected: -655 meV per atom
- Size of the total moment: 0.00 μB/f.u.

Record 5
Material: Sm3Fe5S12
Method: DFT, PBE-GGA
State: optimized geometry

Unit cell a=12.858 b=12.858 c=12.858 alpha=109.47 beta=109.47 gamma=109.47
Fractional coordinates of all 80 atoms:
Sm1 0.125 0.250 0.375
Sm2 0.125 0.375 0.750
Sm3 0.250 0.375 0.125
Sm4 0.250 0.875 0.625
Sm5 0.375 0.125 0.250
Sm6 0.375 0.750 0.125
Sm7 0.625 0.250 0.875
Sm8 0.625 0.875 0.750
Sm9 0.750 0.125 0.375
Sm10 0.750 0.625 0.875
Sm11 0.875 0.625 0.250
Sm12 0.875 0.750 0.625
Fe1 0.000 0.000 0.000
Fe2 0.000 0.000 0.500
Fe3 0.000 0.500 0.000
Fe4 0.000 0.500 0.500
Fe5 0.125 0.750 0.875
Fe6 0.125 0.875 0.250
Fe7 0.250 0.125 0.875
Fe8 0.250 0.625 0.375
Fe9 0.375 0.250 0.625
Fe10 0.375 0.625 0.750
Fe11 0.500 0.000 0.000
Fe12 0.500 0.000 0.500
Fe13 0.500 0.500 0.000
Fe14 0.500 0.500 0.500
Fe15 0.625 0.375 0.250
Fe16 0.625 0.750 0.375
Fe17 0.750 0.375 0.625
Fe18 0.750 0.875 0.125
Fe19 0.875 0.125 0.750
Fe20 0.875 0.250 0.125
S1 0.024 0.204 0.116
S2 0.024 0.320 0.908
S3 0.088 0.704 0.680
S4 0.088 0.884 0.408
S5 0.092 0.616 0.412
S6 0.092 0.976 0.680
S7 0.116 0.024 0.204
S8 0.116 0.592 0.912
S9 0.180 0.204 0.588
S10 0.180 0.476 0.592
S11 0.204 0.116 0.024
S12 0.204 0.588 0.180
S13 0.296 0.320 0.912
S14 0.296 0.476 0.384
S15 0.320 0.908 0.024
S16 0.320 0.912 0.296
S17 0.384 0.296 0.476
S18 0.384 0.588 0.908
S19 0.408 0.088 0.884
S20 0.408 0.820 0.524
S21 0.412 0.092 0.616
S22 0.412 0.820 0.796
S23 0.476 0.384 0.296
S24 0.476 0.592 0.180
S25 0.524 0.408 0.820
S26 0.524 0.616 0.704
S27 0.588 0.180 0.204
S28 0.588 0.908 0.384
S29 0.592 0.180 0.476
S30 0.592 0.912 0.116
S31 0.616 0.412 0.092
S32 0.616 0.704 0.524
S33 0.680 0.088 0.704
S34 0.680 0.092 0.976
S35 0.704 0.524 0.616
S36 0.704 0.680 0.088
S37 0.796 0.412 0.820
S38 0.796 0.884 0.976
S39 0.820 0.524 0.408
S40 0.820 0.796 0.412
S41 0.884 0.408 0.088
S42 0.884 0.976 0.796
S43 0.908 0.024 0.320
S44 0.908 0.384 0.588
S45 0.912 0.116 0.592
S46 0.912 0.296 0.320
S47 0.976 0.680 0.092
S48 0.976 0.796 0.884

Calculated values
- DOS at the Fermi energy: 19.6 states/eV per cell
- Crystal system: cubic
- Volume: 1636 Å³/cell
- Energy relative to the elements, uncorrected: -939 meV per atom
- Size of the total moment: 5.00 μB/f.u.

Record 6
Material: Sm2DyCdN
Method: DFT, PBE-GGA
State: optimized geometry

Unit cell a=4.984 b=4.984 c=4.799 alpha=90.00 beta=90.00 gamma=90.00
Fractional coordinates of all 5 atoms:
Sm1 0.000 0.500 0.000
Sm2 0.500 0.000 0.000
Dy1 0.000 0.000 0.500
Cd1 0.500 0.500 0.500
N1 0.000 0.000 0.000

Calculated values
- DOS at the Fermi energy: 4.6 states/eV per cell
- Crystal system: tetragonal
- Volume: 119 Å³/cell
- Energy relative to the elements, uncorrected: -784 meV per atom
- Size of the total moment: 0.00 μB/f.u.